A relaxed AcSmCdOs crystal. Source: the Alexandria database, functional PBE.

Computed properties:
**DFT total energy**: -20.9 eV/cell
**Formation energy**: 25 meV per atom
**Crystal system**: cubic
**V**: 26.2 Å³/atom

```
AcSmCdOs
1.0
0.000 3.741 3.741
3.741 0.000 3.741
3.741 3.741 0.000
Ac Sm Cd Os
1 1 1 1
Cartesian
0.000 0.000 0.000 Ac
3.741 3.741 3.741 Sm
1.871 1.871 1.871 Cd
5.612 5.612 5.612 Os
```

A relaxed Y3Ho4Ga4 crystal. Source: the Alexandria database, functional PBE.

Computed properties:
**DFT total energy**: -53.6 eV/cell
**Formation energy**: -345 meV per atom
**Crystal system**: orthorhombic
**V**: 26.6 Å³/atom

```
Y3Ho4Ga4
1.0
-2.252 4.119 7.875
2.252 -4.119 7.875
2.252 4.119 -7.875
Y Ho Ga
3 4 4
Cartesian
0.000 0.000 0.000 Y
2.252 0.000 6.052 Y
0.000 4.119 1.823 Y
2.252 1.633 -2.632 Ho
2.252 1.633 2.632 Ho
0.000 2.487 5.243 Ho
0.000 2.487 10.507 Ho
0.000 0.000 3.553 Ga
2.252 2.783 0.000 Ga
0.000 1.337 7.875 Ga
0.000 0.000 12.198 Ga
```

A relaxed Nd2YHfAs4 crystal. Source: the Alexandria database, functional PBE.

Computed properties:
**DFT total energy**: -55.7 eV/cell
**Formation energy**: -1387 meV per atom
**Crystal system**: monoclinic
**V**: 24.6 Å³/atom

```
Nd2YHfAs4
1.0
7.118 0.000 0.000
0.000 4.107 0.000
-2.351 0.000 6.734
Nd Y Hf As
2 1 1 4
Cartesian
0.000 0.000 0.000 Nd
3.559 2.053 0.000 Nd
-1.176 2.053 3.367 Y
2.383 0.000 3.367 Hf
0.087 0.000 4.938 As
1.256 2.053 1.835 As
3.510 2.053 4.899 As
4.680 0.000 1.796 As
```

A relaxed PrFeSi2 crystal. Source: the Alexandria database, functional PBE.

Computed properties:
**DFT total energy**: -53.3 eV/cell
**Crystal system**: orthorhombic
**V**: 17.6 Å³/atom

```
PrFeSi2
1.0
2.058 -8.500 0.000
2.058 8.500 0.000
0.000 0.000 4.036
Pr Fe Si
2 2 4
Cartesian
2.058 6.680 3.027 Pr
2.058 -6.680 1.009 Pr
2.058 4.242 1.009 Fe
2.058 -4.242 3.027 Fe
2.058 3.221 3.027 Si
2.058 0.643 3.027 Si
2.058 -0.643 1.009 Si
2.058 -3.221 1.009 Si
```

A relaxed MnSbPI2 crystal. Source: the Alexandria database, functional PBE.

Computed properties:
**DFT total energy**: -18.2 eV/cell
**Energy above the most stable polymorph in this dataset**: 0 meV/atom
**Crystal system**: tetragonal
**V**: 31.7 Å³/atom

```
MnSbPI2
1.0
5.370 0.000 0.000
0.000 5.370 0.000
0.000 0.000 5.494
Mn Sb P I
1 1 1 2
Cartesian
0.000 0.000 0.000 Mn
2.685 2.685 0.000 Sb
2.685 2.685 2.747 P
0.000 2.685 2.747 I
2.685 0.000 2.747 I
```

A relaxed La3ErTm7 crystal. Source: the Alexandria database, functional PBE.

Computed properties:
**DFT total energy**: -49.3 eV/cell
**Energy above the most stable polymorph in this dataset**: 0 meV/atom
**Formation energy**: 123 meV per atom
**Crystal system**: triclinic
**V**: 32.8 Å³/atom

```
La3ErTm7
1.0
6.509 0.000 0.000
-0.594 6.662 0.000
-1.207 -1.601 8.316
La Er Tm
3 1 7
Cartesian
0.000 0.000 0.000 La
0.739 3.468 1.383 La
3.969 1.593 6.934 La
2.651 -0.800 4.158 Er
-1.078 4.207 4.796 Tm
0.748 0.575 6.556 Tm
1.346 3.921 7.083 Tm
2.354 2.531 4.158 Tm
3.362 1.141 1.233 Tm
3.960 4.487 1.760 Tm
5.786 0.855 3.520 Tm
```

A relaxed EuZnGa crystal. Source: the Alexandria database, functional PBE.

Computed properties:
**DFT total energy**: -15.9 eV/cell
**Formation energy**: -427 meV per atom
**Crystal system**: hexagonal
**V**: 22.9 Å³/atom

```
EuZnGa
1.0
4.573 0.000 0.000
-2.286 3.960 0.000
0.000 0.000 3.799
Eu Zn Ga
1 1 1
Cartesian
0.000 0.000 0.000 Eu
2.286 1.320 1.900 Zn
0.000 2.640 1.900 Ga
```

A relaxed NiH4Cl2 crystal. Source: the Alexandria database, functional PBE.

Computed properties:
**DFT total energy**: -60.8 eV/cell
**Crystal system**: tetragonal
**V**: 11.3 Å³/atom

```
NiH4Cl2
1.0
4.899 0.000 0.000
0.000 4.899 0.000
0.000 0.000 9.929
Ni H Cl
3 12 6
Cartesian
0.000 0.000 0.000 Ni
2.449 2.449 2.984 Ni
2.449 2.449 6.944 Ni
1.110 2.449 2.274 H
1.110 2.449 7.655 H
2.449 1.110 2.274 H
2.449 1.110 7.655 H
2.449 2.449 1.544 H
2.449 2.449 4.598 H
2.449 2.449 5.331 H
2.449 2.449 8.385 H
2.449 3.789 2.274 H
2.449 3.789 7.655 H
3.789 2.449 2.274 H
3.789 2.449 7.655 H
0.000 0.000 2.180 Cl
0.000 0.000 7.748 Cl
0.000 2.449 0.000 Cl
0.000 2.449 4.964 Cl
2.449 0.000 0.000 Cl
2.449 0.000 4.964 Cl
```

A relaxed DyCu9Ni3 crystal. Source: the Alexandria database, functional PBE.

Computed properties:
**DFT total energy**: -60.3 eV/cell
**Formation energy**: -111 meV per atom
**Crystal system**: monoclinic
**V**: 13.0 Å³/atom

```
DyCu9Ni3
1.0
2.417 -5.904 0.000
2.417 5.904 0.000
-2.330 0.000 5.924
Dy Cu Ni
1 9 3
Cartesian
0.000 0.000 0.000 Dy
0.102 3.814 3.852 Cu
0.067 1.315 4.615 Cu
2.402 3.814 2.072 Cu
2.438 1.315 1.309 Cu
1.252 0.000 2.962 Cu
0.067 -1.315 4.615 Cu
0.102 -3.814 3.852 Cu
2.438 -1.315 1.309 Cu
2.402 -3.814 2.072 Cu
-1.165 0.000 2.962 Ni
1.209 2.952 0.000 Ni
1.209 -2.952 0.000 Ni
```

A relaxed AsH3Pt crystal. Source: the Alexandria database, functional PBE.

Computed properties:
**DFT total energy**: -18.2 eV/cell
**Energy above the most stable polymorph in this dataset**: 0 meV/atom
**Crystal system**: cubic
**V**: 9.7 Å³/atom

```
AsH3Pt
1.0
3.650 0.000 0.000
0.000 3.650 0.000
0.000 0.000 3.650
As H Pt
1 3 1
Cartesian
0.000 0.000 0.000 As
0.000 1.825 1.825 H
1.825 0.000 1.825 H
1.825 1.825 0.000 H
1.825 1.825 1.825 Pt
```

A relaxed Ga2Pd crystal. Source: the Alexandria database, functional PBE.

Computed properties:
**DFT total energy**: -50.2 eV/cell
**Formation energy**: -436 meV per atom
**Crystal system**: orthorhombic
**V**: 17.4 Å³/atom

```
Ga2Pd
1.0
6.132 -2.888 0.000
6.132 2.888 0.000
0.000 0.000 5.889
Ga Pd
8 4
Cartesian
3.066 1.435 1.472 Ga
6.132 1.951 4.915 Ga
6.132 0.937 1.971 Ga
3.066 -1.435 4.417 Ga
9.199 1.435 1.472 Ga
6.132 -0.937 3.918 Ga
6.132 -1.951 0.974 Ga
9.199 -1.435 4.417 Ga
1.465 0.000 2.944 Pd
4.668 0.000 0.000 Pd
7.597 0.000 0.000 Pd
10.800 0.000 2.944 Pd
```

A relaxed Nd2DyMn crystal. Source: the Alexandria database, functional PBE.

Computed properties:
**DFT total energy**: -22.6 eV/cell
**Formation energy**: 180 meV per atom
**Crystal system**: tetragonal
**V**: 29.2 Å³/atom

```
Nd2DyMn
1.0
3.623 0.000 0.000
0.000 3.623 0.000
0.000 0.000 8.903
Nd Dy Mn
2 1 1
Cartesian
0.000 0.000 1.880 Nd
0.000 0.000 7.023 Nd
1.812 1.812 4.452 Dy
1.812 1.812 0.000 Mn
```

A relaxed InAg2Te crystal. Source: the Alexandria database, functional PBE.

Computed properties:
**DFT total energy**: -11.4 eV/cell
**Energy above the most stable polymorph in this dataset**: 42 meV/atom
**Crystal system**: tetragonal
**V**: 23.5 Å³/atom

```
InAg2Te
1.0
4.026 0.000 0.000
0.000 4.026 0.000
0.000 0.000 5.804
In Ag Te
1 2 1
Cartesian
0.000 0.000 0.000 In
0.000 0.000 3.010 Ag
2.013 2.013 4.324 Ag
2.013 2.013 1.491 Te
```

A relaxed SnAsPbSe2 crystal. Source: the Alexandria database, functional PBE.

Computed properties:
**DFT total energy**: -16.6 eV/cell
**Energy above the most stable polymorph in this dataset**: 0 meV/atom
**Crystal system**: tetragonal
**V**: 31.7 Å³/atom

```
SnAsPbSe2
1.0
5.445 0.000 0.000
0.000 5.445 0.000
0.000 0.000 5.354
Sn As Pb Se
1 1 1 2
Cartesian
0.000 0.000 0.000 Sn
2.723 2.723 0.000 As
2.723 2.723 2.677 Pb
0.000 2.723 2.677 Se
2.723 0.000 2.677 Se
```

A relaxed La4Pr2Dy2Y crystal. Source: the Alexandria database, functional PBE.

Computed properties:
**DFT total energy**: -44.7 eV/cell
**Formation energy**: 23 meV per atom
**Crystal system**: monoclinic
**V**: 35.1 Å³/atom

```
La4Pr2Dy2Y
1.0
9.540 -1.845 0.000
9.540 1.845 0.000
-0.123 0.000 8.975
La Pr Dy Y
4 2 2 1
Cartesian
0.991 0.000 2.996 La
5.212 0.000 5.996 La
13.745 0.000 2.979 La
17.966 0.000 5.979 La
3.027 0.000 8.954 Pr
15.930 0.000 0.021 Pr
7.384 0.000 2.996 Dy
11.573 0.000 5.979 Dy
9.540 0.000 0.000 Y
```

A relaxed LaHf2AgB crystal. Source: the Alexandria database, functional PBE.

Computed properties:
**DFT total energy**: -24.8 eV/cell
**Formation energy**: 1913 meV per atom
**Crystal system**: tetragonal
**V**: 24.8 Å³/atom

```
LaHf2AgB
1.0
5.277 0.000 0.000
0.000 5.277 0.000
0.000 0.000 4.450
La Hf Ag B
1 2 1 1
Cartesian
0.000 0.000 0.000 La
0.000 2.639 0.000 Hf
2.639 0.000 0.000 Hf
2.639 2.639 2.225 Ag
0.000 0.000 2.225 B
```

A relaxed Ce2BeSi4Rh3 crystal. Source: the Alexandria database, functional PBE.

Computed properties:
**DFT total energy**: -68.0 eV/cell
**Crystal system**: tetragonal
**V**: 16.7 Å³/atom

```
Ce2BeSi4Rh3
1.0
4.118 0.000 0.000
0.000 4.118 0.000
0.000 0.000 9.871
Ce Be Si Rh
2 1 4 3
Cartesian
0.000 2.059 2.453 Ce
2.059 0.000 7.418 Ce
2.059 2.059 0.000 Be
0.000 0.000 4.936 Si
0.000 2.059 8.595 Si
2.059 0.000 1.276 Si
2.059 2.059 4.936 Si
0.000 0.000 0.000 Rh
0.000 2.059 6.188 Rh
2.059 0.000 3.683 Rh
```

A relaxed NaAs2Pd2 crystal. Source: the Alexandria database, functional PBE.

Computed properties:
**DFT total energy**: -23.2 eV/cell
**Energy above the most stable polymorph in this dataset**: 0 meV/atom
**Formation energy**: -438 meV per atom
**Crystal system**: tetragonal
**V**: 19.5 Å³/atom

```
NaAs2Pd2
1.0
-2.185 2.185 5.098
2.185 -2.185 5.098
2.185 2.185 -5.098
Na As Pd
1 2 2
Cartesian
0.000 0.000 0.000 Na
0.000 0.000 3.821 As
0.000 0.000 6.376 As
2.185 0.000 2.549 Pd
0.000 2.185 2.549 Pd
```

A relaxed Tm2Mn16Mo crystal. Source: the Alexandria database, functional PBE.

Computed properties:
**DFT total energy**: -166.5 eV/cell
**Formation energy**: 1 meV per atom
**Crystal system**: trigonal
**V**: 13.3 Å³/atom

```
Tm2Mn16Mo
1.0
4.329 2.499 3.897
-4.329 2.499 3.897
0.000 -4.998 3.897
Tm Mn Mo
2 16 1
Cartesian
0.000 0.000 0.000 Tm
0.000 0.000 3.385 Tm
0.000 -2.591 2.057 Mn
-2.244 1.296 2.057 Mn
-2.171 -1.253 5.609 Mn
0.000 -2.441 5.231 Mn
-2.114 1.220 5.231 Mn
-1.213 -2.091 7.579 Mn
-2.417 -0.005 7.579 Mn
2.244 1.296 2.057 Mn
2.171 -1.253 5.609 Mn
0.000 2.506 5.609 Mn
1.213 -2.091 7.579 Mn
-1.204 2.096 7.579 Mn
0.000 0.000 8.781 Mn
2.114 1.220 5.231 Mn
2.417 -0.005 7.579 Mn
1.204 2.096 7.579 Mn
0.000 0.000 6.394 Mo
```

A relaxed LiCr2N crystal. Source: the Alexandria database, functional PBE.

Computed properties:
**DFT total energy**: -58.9 eV/cell
**Crystal system**: tetragonal
**V**: 10.2 Å³/atom

```
LiCr2N
1.0
-3.294 3.294 1.888
3.294 -3.294 1.888
3.294 3.294 -1.888
Li Cr N
2 4 2
Cartesian
0.000 0.000 0.000 Li
0.000 3.294 0.944 Li
1.647 -0.916 1.416 Cr
2.379 1.647 0.472 Cr
1.647 4.210 -0.472 Cr
0.916 1.647 2.360 Cr
3.294 0.000 0.944 N
0.000 0.000 1.888 N
```

A relaxed V7Ge3H2 crystal. Source: the Alexandria database, functional PBE.

Computed properties:
**DFT total energy**: -87.5 eV/cell
**Crystal system**: orthorhombic
**V**: 11.7 Å³/atom

```
V7Ge3H2
1.0
1.903 -9.797 0.000
1.903 9.797 0.000
0.000 0.000 3.770
V Ge H
7 3 2
Cartesian
0.000 0.000 0.000 V
1.903 7.860 1.885 V
1.903 5.798 0.000 V
1.903 1.935 0.000 V
1.903 -1.935 0.000 V
1.903 -5.798 0.000 V
1.903 -7.860 1.885 V
1.903 3.763 1.885 Ge
1.903 0.000 1.885 Ge
1.903 -3.763 1.885 Ge
1.903 7.842 0.000 H
1.903 -7.842 0.000 H
```

A relaxed Ac2GeSe5 crystal. Source: the Alexandria database, functional PBE.

Computed properties:
**DFT total energy**: -40.3 eV/cell
**Energy above the most stable polymorph in this dataset**: 107 meV/atom
**Crystal system**: monoclinic
**V**: 31.2 Å³/atom

```
Ac2GeSe5
1.0
4.489 -4.758 0.000
4.489 4.758 0.000
-3.714 0.000 5.847
Ac Ge Se
2 1 5
Cartesian
4.489 2.435 0.000 Ac
4.489 -2.435 0.000 Ac
-1.846 0.000 2.914 Ge
1.590 2.656 2.719 Se
0.337 0.000 2.063 Se
-1.343 0.000 5.399 Se
1.590 -2.656 2.719 Se
2.889 0.000 5.418 Se
```

A relaxed Np4AsP2S crystal. Source: the Alexandria database, functional PBE.

Computed properties:
**DFT total energy**: -79.0 eV/cell
**Crystal system**: monoclinic
**V**: 22.6 Å³/atom

```
Np4AsP2S
1.0
6.906 0.000 0.000
0.000 4.005 0.000
-2.323 0.000 6.526
Np As P S
4 1 2 1
Cartesian
1.116 0.000 1.583 Np
-0.046 2.002 4.924 Np
4.629 2.002 1.602 Np
3.467 0.000 4.944 Np
2.292 2.002 3.263 As
0.000 2.002 0.000 P
3.453 0.000 0.000 P
-1.161 0.000 3.263 S
```

A relaxed CdCoBi2B crystal. Source: the Alexandria database, functional PBE.

Computed properties:
**DFT total energy**: -19.6 eV/cell
**Formation energy**: 580 meV per atom
**Crystal system**: tetragonal
**V**: 21.0 Å³/atom

```
CdCoBi2B
1.0
5.215 0.000 0.000
0.000 5.215 0.000
0.000 0.000 3.860
Cd Co Bi B
1 1 2 1
Cartesian
0.000 0.000 0.000 Cd
2.607 2.607 0.000 Co
0.000 2.607 1.930 Bi
2.607 0.000 1.930 Bi
2.607 2.607 1.930 B
```